{
  "formula": "MnTcPb",
  "functional": "PBE-GGA",
  "state": "relaxed",
  "cell": [[-4.354, 3.127, 2.924], [-5.705, 2.141, 0.390], [-1.486, -2.102, 1.610]],
  "species": ["Pb", "Tc", "Mn"],
  "frac_coords": [[0.333, 0.333, 0.667], [0.643, 0.643, 0.357], [0.023, 0.023, 0.977]],
  "dft_energy_ev_per_atom": -7.2506,
  "spacegroup": "I4mm (107)"
}

***

{
  "formula": "LaV2NiS",
  "functional": "PBE-GGA",
  "state": "relaxed",
  "cell": [[4.555, 0.000, 0.000], [0.000, 4.838, 0.000], [0.000, 0.000, 4.555]],
  "species": ["S", "V", "V", "Ni", "La"],
  "frac_coords": [[0.000, 0.500, 0.000], [0.500, 0.000, 0.000], [0.000, 0.000, 0.500], [0.000, 0.000, 0.000], [0.500, 0.500, 0.500]],
  "raw_formation_energy_ev_per_atom": 0.354,
  "dft_energy_ev_per_atom": -6.2607,
  "spacegroup": "P4/mmm (123)"
}

***

{
  "formula": "Tb5UTc4",
  "functional": "PBE-GGA",
  "state": "relaxed",
  "cell": [[-1.044, 2.863, 3.251], [2.263, -4.599, 4.777], [6.904, 3.242, -3.693]],
  "species": ["Tc", "Tc", "Tc", "Tc", "Tb", "Tb", "Tb", "Tb", "Tb", "U"],
  "frac_coords": [[0.990, 0.782, 0.981], [0.637, 0.269, 0.275], [0.010, 0.218, 0.019], [0.363, 0.731, 0.725], [0.827, 0.452, 0.653], [0.832, 0.963, 0.664], [0.173, 0.548, 0.347], [0.168, 0.037, 0.336], [0.500, 0.500, 0.000], [0.500, 0.000, 0.000]],
  "dft_energy_ev_per_atom": -7.6208,
  "spacegroup": "C2/m (12)"
}

***

{
  "formula": "Tb4Nd5Sc",
  "functional": "PBE-GGA",
  "state": "relaxed",
  "cell": [[-2.613, 2.272, 0.985], [0.825, -3.298, 9.795], [7.564, 4.984, 1.993]],
  "species": ["Tb", "Tb", "Tb", "Tb", "Nd", "Nd", "Nd", "Nd", "Nd", "Sc"],
  "frac_coords": [[0.681, 0.084, 0.362], [0.957, 0.769, 0.913], [0.043, 0.231, 0.087], [0.319, 0.916, 0.638], [0.859, 0.228, 0.718], [0.811, 0.600, 0.622], [0.189, 0.400, 0.378], [0.141, 0.772, 0.282], [0.500, 0.500, 0.000], [0.500, 0.000, 0.000]],
  "dft_energy_ev_per_atom": -4.7279,
  "spacegroup": "C2/m (12)"
}